No. 1
DFT (PBE-GGA) results for a geometry-optimized FeAs2SeBr structure.

The space group is P4/mmm (No. 123) and the conventional cell measures 5.0599, 5.0599 and 5.1342 Å, with angles of 90.00, 90.00 and 90.00 degrees. The inequivalent atoms are Fe at (0.0000, 0.0000, 0.0000), As at (0.0000, 0.5000, 0.5000), Se at (0.5000, 0.5000, 0.0000) and Br at (0.5000, 0.5000, 0.5000).

The calculated volume comes out at 131.4 Å³/f.u. As for the polymorph energy (0 for the lowest one): 1117 meV/atom.



No. 2
DFT (PBE-GGA) results for a geometry-optimized FeAs2SeBr structure.

The space group is P4/mmm (No. 123) and the conventional cell measures 4.7194, 4.7194 and 4.6929 Å, with angles of 90.00, 90.00 and 90.00 degrees. The inequivalent atoms are Fe at (0.0000, 0.0000, 0.0000), As at (0.0000, 0.5000, 0.0000), Se at (0.5000, 0.5000, 0.5000) and Br at (0.0000, 0.0000, 0.5000).

The calculated volume comes out at 104.5 Å³/f.u. As for the polymorph energy (0 for the lowest one): 80 meV/atom.



No. 3
DFT (PBE-GGA) results for a geometry-optimized FeAsSe2Br structure.

The space group is P4/mmm (No. 123) and the conventional cell measures 4.6036, 4.6036 and 5.1375 Å, with angles of 90.00, 90.00 and 90.00 degrees. The inequivalent atoms are Fe at (0.0000, 0.0000, 0.0000), As at (0.0000, 0.0000, 0.5000), Se at (0.0000, 0.5000, 0.0000) and Br at (0.5000, 0.5000, 0.5000).

The calculated volume comes out at 108.9 Å³/f.u. As for the polymorph energy (0 for the lowest one): 0 meV/atom.